Entry 1:
MgMnTc2 at its PBEsol-relaxed geometry. Source: Alexandria, functional SCAN.

Cell lengths 2.944, 2.944, 6.450 Å; angles 90.00, 90.00, 90.00 degrees
Positions (direct):
Tc (0.000, 0.000, 0.976)
Tc (0.500, 0.500, 0.228)
Mg (0.000, 0.000, 0.513)
Mn (0.500, 0.500, 0.783)

For the magnetic moment, the calculation gives 0.0002 μB per atom. The calculation puts the density at 8.18 g/cm³. The electronic total energy is -92.5 eV per cell. The volume comes out at 56 Å³/cell. The formation energy comes out at 220 meV/atom. As for the crystal system: tetragonal. As for the space-group type: P4mm (99).

***

Entry 2:
MgMnTc2 at its PBEsol-relaxed geometry. Source: Alexandria, functional SCAN.

Cell lengths 2.685, 2.685, 7.736 Å; angles 90.00, 90.00, 90.00 degrees
Positions (direct):
Mg (0.500, 0.500, 0.000)
Tc (0.000, 0.000, 0.715)
Tc (0.000, 0.000, 0.285)
Mn (0.500, 0.500, 0.500)

For the magnetic moment, the calculation gives 0.0001 μB per atom. The calculation puts the density at 8.19 g/cm³. The electronic total energy is -92.5 eV per cell. The volume comes out at 56 Å³/cell. The formation energy comes out at 215 meV/atom. As for the crystal system: tetragonal. As for the space-group type: P4/mmm (123).

***

Entry 3:
Mg3MnTe4 at its PBEsol-relaxed geometry. Source: Alexandria, functional SCAN.

Cell lengths 4.523, 4.523, 12.755 Å; angles 90.00, 90.00, 90.00 degrees
Positions (direct):
Te (0.000, 0.500, 0.884)
Te (0.500, 0.000, 0.628)
Te (0.000, 0.500, 0.372)
Te (0.500, 0.000, 0.116)
Mg (0.500, 0.500, 0.500)
Mg (0.000, 0.000, 0.245)
Mg (0.000, 0.000, 0.755)
Mn (0.500, 0.500, 0.000)

For the magnetic moment, the calculation gives 0.6250 μB per atom. The calculation puts the density at 4.06 g/cm³. The electronic total energy is -189.3 eV per cell. The volume comes out at 261 Å³/cell. As for the formation energy without anion corrections: -85 kJ/mol of atoms. As for the crystal system: tetragonal. As for the space-group type: P-4m2 (115).

***

Entry 4:
Mg2MnTe at its PBEsol-relaxed geometry. Source: Alexandria, functional SCAN.

Cell lengths 3.911, 4.541, 4.541 Å; angles 90.00, 90.00, 90.00 degrees
Positions (direct):
Mn (0.500, 0.500, 0.500)
Te (0.500, 0.000, 0.000)
Mg (0.000, 0.000, 0.500)
Mg (0.000, 0.500, 0.000)

For the magnetic moment, the calculation gives 0.9389 μB per atom. The calculation puts the density at 4.76 g/cm³. The electronic total energy is -65.9 eV per cell. The volume comes out at 81 Å³/cell. As for the formation energy without anion corrections: -10 kJ/mol of atoms. As for the crystal system: tetragonal. As for the space-group type: P4/mmm (123).

***

Entry 5:
MgMn3Te4 at its PBEsol-relaxed geometry. Source: Alexandria, functional SCAN.

Cell lengths 4.466, 4.466, 12.568 Å; angles 90.00, 90.00, 90.00 degrees
Positions (direct):
Mn (0.500, 0.500, 0.746)
Mn (0.000, 0.000, 0.500)
Mn (0.500, 0.500, 0.254)
Te (0.000, 0.500, 0.133)
Te (0.500, 0.000, 0.867)
Te (0.000, 0.500, 0.623)
Te (0.500, 0.000, 0.377)
Mg (0.000, 0.000, 0.000)

For the magnetic moment, the calculation gives 1.8750 μB per atom. The calculation puts the density at 4.63 g/cm³. The electronic total energy is -214.1 eV per cell. The volume comes out at 251 Å³/cell. As for the formation energy without anion corrections: -64 kJ/mol of atoms. As for the crystal system: tetragonal. As for the space-group type: P-4m2 (115).

***

Entry 6:
Mg2MnTe at its PBEsol-relaxed geometry. Source: Alexandria, functional SCAN.

Cell lengths 3.706, 3.706, 5.853 Å; angles 90.00, 90.00, 90.00 degrees
Positions (direct):
Mg (0.000, 0.000, 0.001)
Mg (0.500, 0.500, 0.264)
Mn (0.000, 0.000, 0.499)
Te (0.500, 0.500, 0.735)

For the magnetic moment, the calculation gives 0.9943 μB per atom. The calculation puts the density at 4.78 g/cm³. The electronic total energy is -66.0 eV per cell. The volume comes out at 80 Å³/cell. As for the formation energy without anion corrections: -13 kJ/mol of atoms. As for the crystal system: tetragonal. As for the space-group type: P4mm (99).